## KPr2BO5 (GGA-PBE)

Data for a geometry-optimized KPr2BO5 structure.

Cell lengths 6.7620, 6.7620, 5.3513 Å; angles 90.00, 90.00, 90.00 degrees
With the nearest neighbours (Å) after each atom.
Space group P4/mbm (No. 127)
Unique sites:
K1 0.0000 0.0000 0.0000 (multiplicity 2)  10 O 2.68-2.94
Pr1 0.1799 0.3201 0.5000 (multiplicity 4)  8 O 2.47-2.56
B1 0.0000 0.5000 0.0000 (multiplicity 2)  4 O 1.61
O1 0.0000 0.0000 0.5000 (multiplicity 2)  4 Pr 2.48, 2 K 2.68
O2 0.1177 0.6177 0.2142 (multiplicity 8)  1 B 1.61

Values from the calculation:
ΔE_f (raw): -2.43 eV/atom
Density: 5.6 g/cm3
Total magnetic moment: 0.0 Bohr magnetons per cell